! ZrRu2Se (PBE, relaxed); values from VASP
&SYSTEM
  ibrav = 0, nat = 4, ntyp = 3
/
ATOMIC_SPECIES
Ru 101.07 Ru.upf
Se 78.96 Se.upf
Zr 91.22 Zr.upf
CELL_PARAMETERS angstrom
5.294 -0.004 -0.002
2.444 4.696 0.002
-3.433 -3.065 2.616
ATOMIC_POSITIONS angstrom
Ru 0.050 0.030 0.000
Ru 1.590 2.079 1.309
Se 3.743 2.269 0.000
Zr 2.792 -0.406 1.307
! total energy = -31.313 eV for the cell shown
! crystal system = orthorhombic